[1]
The following is a DFT calculation (PBE) of an optimized crystal structure of Rb2Na2Cl.

Values from the calculation:
**ΔE_f (raw)**: -2.377 eV per formula unit
**Calculated volume**: 278 Å³/f.u.
**Space-group type**: I4/mmm (139)

abc: 8.0541 8.0541 7.1273
angles: 55.60 55.60 90.00
Closest atoms and distances in Å follow each position.
Atoms (fractional coordinates):
Na: 0.3080 0.3080 0.3840  1 Cl 2.64
Na: 0.6920 0.6920 0.6160  1 Cl 2.64
Rb: 0.7500 0.2500 0.5000  4 Na 4.06, 2 Rb 4.29
Rb: 0.2500 0.7500 0.5000  4 Na 4.06, 2 Rb 4.29
Cl: 0.0000 0.0000 0.0000  2 Na 2.64

---

[2]
The following is a DFT calculation (PBE) of an optimized crystal structure of RbNa2Cl.

Values from the calculation:
**ΔE_f (raw)**: -1.607 eV per formula unit
**Calculated volume**: 166 Å³/f.u.
**Space-group type**: Fm-3m (225)
**Relative energy among the computed polymorphs**: 325 meV per atom

abc: 6.1747 6.1747 6.1747
angles: 60.00 60.00 60.00
Closest atoms and distances in Å follow each position.
Atoms (fractional coordinates):
Na: 0.2500 0.2500 0.2500  4 Cl 3.78, 4 Rb 3.78
Na: 0.7500 0.7500 0.7500  4 Cl 3.78, 4 Rb 3.78
Rb: 0.5000 0.5000 0.5000  8 Na 3.78
Cl: 0.0000 0.0000 0.0000  8 Na 3.78

---

[3]
The following is a DFT calculation (PBE) of an optimized crystal structure of RbNaCl3.

Values from the calculation:
**ΔE_f (raw)**: -6.457 eV per formula unit
**Calculated volume**: 156 Å³/f.u.
**Space-group type**: Pm-3m (221)
**Relative energy among the computed polymorphs**: 0 meV per atom

abc: 5.3845 5.3845 5.3845
angles: 90.00 90.00 90.00
Closest atoms and distances in Å follow each position.
Atoms (fractional coordinates):
Na: 0.0000 0.0000 0.0000  6 Cl 2.69
Rb: 0.5000 0.5000 0.5000  12 Cl 3.81
Cl: 0.0000 0.5000 0.0000  2 Na 2.69
Cl: 0.0000 0.0000 0.5000  2 Na 2.69
Cl: 0.5000 0.0000 0.0000  2 Na 2.69

---

Number 1: electronic total energy -1.76 eV/atom. Number 2: electronic total energy -1.76 eV/atom. Number 3: electronic total energy -2.86 eV/atom.